Entry 1:
The following is a DFT calculation (GGA-PBEsol) of a relaxed NbCu3P4O16 crystal.

Values from the calculation:
total DFT energy (no corrections)	-7.194	eV per atom
V	12.2	Å³/atom
calculated density	3.75	Mg/m³

Unit cell a=4.9717 b=5.9692 c=9.8984 alpha=90.00 beta=92.50 gamma=90.00
Atoms (fractional coordinates):
Nb: 0.0000 0.0000 0.0000
Cu: 0.1012 0.5000 0.5707
Cu: 0.4143 0.5000 0.0893
Cu: 0.6679 0.0000 0.4889
P: 0.1472 0.0000 0.6732
P: 0.4438 0.0000 0.1919
P: 0.6068 0.5000 0.3936
P: 0.9643 0.5000 0.8771
O: 0.1851 0.0000 0.8376
O: 0.2660 0.5000 0.9122
O: 0.2761 0.1933 0.1180
O: 0.2761 0.8067 0.1180
O: 0.2846 0.2098 0.6223
O: 0.2846 0.7902 0.6223
O: 0.3037 0.5000 0.4114
O: 0.4194 0.0000 0.3419
O: 0.6507 0.5000 0.2399
O: 0.7328 0.0000 0.1462
O: 0.7701 0.3030 0.4631
O: 0.7701 0.6970 0.4631
O: 0.8325 0.2902 0.9493
O: 0.8325 0.7098 0.9493
O: 0.8381 0.0000 0.6581
O: 0.8881 0.5000 0.7287

=====

Entry 2:
The following is a DFT calculation (GGA-PBEsol) of a relaxed Ti3NbCu2P6O24 crystal.

Values from the calculation:
total DFT energy (no corrections)	-7.992	eV per atom
V	12.5	Å³/atom
calculated density	3.44	Mg/m³

Unit cell a=8.5511 b=8.5511 c=8.5511 alpha=60.83 beta=60.83 gamma=60.83
Atoms (fractional coordinates):
Ti: 0.0000 0.0000 0.0000
Ti: 0.2197 0.2197 0.2197
Ti: 0.5004 0.5004 0.5004
Nb: 0.7209 0.7209 0.7209
Cu: 0.3590 0.3590 0.3590
Cu: 0.8616 0.8616 0.8616
P: 0.1172 0.8197 0.3924
P: 0.3147 0.6092 0.9008
P: 0.3924 0.1172 0.8197
P: 0.6092 0.9008 0.3147
P: 0.8197 0.3924 0.1172
P: 0.9008 0.3147 0.6092
O: 0.0496 0.8611 0.2358
O: 0.0924 0.3000 0.4471
O: 0.1254 0.7740 0.9152
O: 0.1767 0.9809 0.3527
O: 0.2358 0.0496 0.8611
O: 0.2773 0.6270 0.4110
O: 0.3000 0.4471 0.0924
O: 0.3527 0.1767 0.9809
O: 0.3609 0.5496 0.7369
O: 0.4110 0.2773 0.6270
O: 0.4471 0.0924 0.3000
O: 0.4767 0.6711 0.8614
O: 0.5496 0.7369 0.3609
O: 0.5871 0.9535 0.8037
O: 0.6270 0.4110 0.2773
O: 0.6711 0.8614 0.4767
O: 0.7369 0.3609 0.5496
O: 0.7740 0.9152 0.1254
O: 0.8037 0.5871 0.9535
O: 0.8611 0.2358 0.0496
O: 0.8614 0.4767 0.6711
O: 0.9152 0.1254 0.7740
O: 0.9535 0.8037 0.5871
O: 0.9809 0.3527 0.1767

=====

Entry 3:
The following is a DFT calculation (GGA-PBEsol) of a relaxed Ti3NbCu3O12 crystal.

Values from the calculation:
total DFT energy (no corrections)	-7.924	eV per atom
V	10.5	Å³/atom
calculated density	5.14	Mg/m³

Unit cell a=6.3975 b=6.3975 c=6.3975 alpha=109.67 beta=109.67 gamma=109.67
Atoms (fractional coordinates):
Ti: 0.0000 0.5000 0.5000
Ti: 0.5000 0.0000 0.5000
Ti: 0.5000 0.5000 0.0000
Nb: 0.0000 0.0000 0.0000
Cu: 0.0000 0.0000 0.5000
Cu: 0.0000 0.5000 0.0000
Cu: 0.5000 0.0000 0.0000
O: 0.0091 0.1875 0.3265
O: 0.1858 0.6789 0.3646
O: 0.1875 0.3265 0.0091
O: 0.3211 0.6354 0.8142
O: 0.3265 0.0091 0.1875
O: 0.3646 0.1858 0.6789
O: 0.6354 0.8142 0.3211
O: 0.6735 0.9909 0.8125
O: 0.6789 0.3646 0.1858
O: 0.8125 0.6735 0.9909
O: 0.8142 0.3211 0.6354
O: 0.9909 0.8125 0.6735

=====

Entry 4:
The following is a DFT calculation (GGA-PBEsol) of a relaxed Nb2Zn2CuO8 crystal.

Values from the calculation:
total DFT energy (no corrections)	-7.318	eV per atom
V	11.1	Å³/atom
calculated density	5.82	Mg/m³

Unit cell a=9.9297 b=9.9297 c=5.1579 alpha=91.25 beta=91.25 gamma=34.75
Atoms (fractional coordinates):
Nb: 0.0495 0.7228 0.7608
Nb: 0.2772 0.9505 0.7392
Nb: 0.7228 0.0495 0.2608
Nb: 0.9505 0.2772 0.2392
Zn: 0.1226 0.4321 0.2551
Zn: 0.4321 0.1226 0.7551
Zn: 0.5679 0.8774 0.2449
Zn: 0.8774 0.5679 0.7449
Cu: 0.3548 0.6452 0.2500
Cu: 0.6452 0.3548 0.7500
O: 0.0483 0.8130 0.4253
O: 0.0820 0.2815 0.9445
O: 0.1670 0.4488 0.6281
O: 0.1870 0.9517 0.0747
O: 0.2815 0.0820 0.4445
O: 0.3137 0.5744 0.9367
O: 0.4256 0.6863 0.5633
O: 0.4488 0.1670 0.1281
O: 0.5512 0.8330 0.8719
O: 0.5744 0.3137 0.4367
O: 0.6863 0.4256 0.0633
O: 0.7185 0.9180 0.5555
O: 0.8130 0.0483 0.9253
O: 0.8330 0.5512 0.3719
O: 0.9180 0.7185 0.0555
O: 0.9517 0.1870 0.5747

=====

Entry 5:
The following is a DFT calculation (GGA-PBEsol) of a relaxed NbCu3P crystal.

Values from the calculation:
total DFT energy (no corrections)	-5.377	eV per atom
V	14.7	Å³/atom
calculated density	7.10	Mg/m³

Unit cell a=4.1909 b=4.1909 c=4.1909 alpha=90.00 beta=90.00 gamma=90.00
Atoms (fractional coordinates):
Nb: 0.0000 0.0000 0.0000
Cu: 0.0000 0.5000 0.5000
Cu: 0.5000 0.0000 0.5000
Cu: 0.5000 0.5000 0.0000
P: 0.5000 0.5000 0.5000

=====

Entry 6:
The following is a DFT calculation (GGA-PBEsol) of a relaxed Nb3CuP crystal.

Values from the calculation:
ΔE to the lowest computed polymorph	0.00	eV/f.u.
V	18.9	Å³/atom
calculated density	6.57	Mg/m³

Unit cell a=4.5511 b=4.5511 c=4.5511 alpha=90.00 beta=90.00 gamma=90.00
Atoms (fractional coordinates):
Nb: 0.0000 0.0000 0.5000
Nb: 0.0000 0.5000 0.0000
Nb: 0.5000 0.0000 0.0000
Cu: 0.5000 0.5000 0.5000
P: 0.0000 0.0000 0.0000

=====

Entry 7:
The following is a DFT calculation (GGA-PBEsol) of a relaxed Ti2NbCuP crystal.

Values from the calculation:
total DFT energy (no corrections)	-6.218	eV per atom
V	19.8	Å³/atom
calculated density	4.74	Mg/m³

Unit cell a=4.6295 b=4.6295 c=4.6266 alpha=90.00 beta=90.00 gamma=90.00
Atoms (fractional coordinates):
Ti: 0.0000 0.5000 0.0000
Ti: 0.5000 0.0000 0.0000
Nb: 0.0000 0.0000 0.0000
Cu: 0.0000 0.0000 0.5000
P: 0.5000 0.5000 0.5000

=====

Entry 8:
The following is a DFT calculation (GGA-PBEsol) of a relaxed NbCuSi2Pb crystal.

Values from the calculation:
total DFT energy (no corrections)	-5.401	eV per atom
V	22.6	Å³/atom
calculated density	6.16	Mg/m³

Unit cell a=4.8223 b=4.8223 c=4.8674 alpha=90.00 beta=90.00 gamma=90.00
Atoms (fractional coordinates):
Nb: 0.0000 0.0000 0.0000
Cu: 0.0000 0.0000 0.5000
Si: 0.0000 0.5000 0.0000
Si: 0.5000 0.0000 0.0000
Pb: 0.5000 0.5000 0.5000

=====

Entry 9:
The following is a DFT calculation (GGA-PBEsol) of a relaxed Nb2CuTcPt crystal.

Values from the calculation:
total DFT energy (no corrections)	-7.200	eV per atom
V	21.6	Å³/atom
calculated density	8.35	Mg/m³

Unit cell a=4.8093 b=4.8093 c=4.6638 alpha=90.00 beta=90.00 gamma=90.00
Atoms (fractional coordinates):
Nb: 0.0000 0.5000 0.0000
Nb: 0.5000 0.0000 0.0000
Cu: 0.0000 0.0000 0.5000
Tc: 0.5000 0.5000 0.5000
Pt: 0.5000 0.5000 0.0000

=====

Entry 10:
The following is a DFT calculation (GGA-PBEsol) of a relaxed RbNbCu2 crystal.

Values from the calculation:
total DFT energy (no corrections)	-3.753	eV per atom
V	19.5	Å³/atom
calculated density	6.49	Mg/m³

Unit cell a=4.7983 b=4.7983 c=4.7983 alpha=60.00 beta=60.00 gamma=60.00
Atoms (fractional coordinates):
Rb: 0.0000 0.0000 0.0000
Nb: 0.5000 0.5000 0.5000
Cu: 0.2500 0.2500 0.2500
Cu: 0.7500 0.7500 0.7500

=====

Entry 11:
The following is a DFT calculation (GGA-PBEsol) of a relaxed RbNbCu2Si crystal.

Values from the calculation:
total DFT energy (no corrections)	-3.761	eV per atom
V	22.8	Å³/atom
calculated density	4.86	Mg/m³

Unit cell a=4.4824 b=4.4824 c=5.6742 alpha=90.00 beta=90.00 gamma=90.00
Atoms (fractional coordinates):
Rb: 0.0000 0.0000 0.0000
Nb: 0.5000 0.5000 0.0000
Cu: 0.0000 0.5000 0.5000
Cu: 0.5000 0.0000 0.5000
Si: 0.0000 0.0000 0.5000

=====

Entry 12:
The following is a DFT calculation (GGA-PBEsol) of a relaxed Rb2NbTlCu crystal.

Values from the calculation:
total DFT energy (no corrections)	-2.818	eV per atom
V	38.3	Å³/atom
calculated density	4.61	Mg/m³

Unit cell a=6.1904 b=6.1904 c=4.9937 alpha=90.00 beta=90.00 gamma=90.00
Atoms (fractional coordinates):
Rb: 0.0000 0.5000 0.0000
Rb: 0.5000 0.0000 0.0000
Nb: 0.0000 0.0000 0.5000
Tl: 0.5000 0.5000 0.5000
Cu: 0.0000 0.0000 0.0000

=====

Entry 13:
The following is a DFT calculation (GGA-PBEsol) of a relaxed NbCuRe2 crystal.

Values from the calculation:
total DFT energy (no corrections)	-10.114	eV per atom
V	14.7	Å³/atom
calculated density	14.97	Mg/m³

Unit cell a=4.3619 b=4.3619 c=4.3619 alpha=60.00 beta=60.00 gamma=60.00
Atoms (fractional coordinates):
Nb: 0.0000 0.0000 0.0000
Cu: 0.5000 0.5000 0.5000
Re: 0.2500 0.2500 0.2500
Re: 0.7500 0.7500 0.7500

=====

Entry 14:
The following is a DFT calculation (GGA-PBEsol) of a relaxed NbCu2Re crystal.

Values from the calculation:
total DFT energy (no corrections)	-7.834	eV per atom
V	13.7	Å³/atom
calculated density	12.27	Mg/m³

Unit cell a=4.2676 b=4.2676 c=4.2676 alpha=60.00 beta=60.00 gamma=60.00
Atoms (fractional coordinates):
Nb: 0.0000 0.0000 0.0000
Cu: 0.2500 0.2500 0.2500
Cu: 0.7500 0.7500 0.7500
Re: 0.5000 0.5000 0.5000

=====

Entry 15:
The following is a DFT calculation (GGA-PBEsol) of a relaxed TaNbCuRe2 crystal.

Values from the calculation:
total DFT energy (no corrections)	-8.774	eV per atom
V	19.3	Å³/atom
calculated density	12.22	Mg/m³

Unit cell a=4.6598 b=4.6598 c=4.4423 alpha=90.00 beta=90.00 gamma=90.00
Atoms (fractional coordinates):
Ta: 0.0000 0.0000 0.0000
Nb: 0.5000 0.5000 0.5000
Cu: 0.5000 0.5000 0.0000
Re: 0.0000 0.5000 0.5000
Re: 0.5000 0.0000 0.5000

=====

Entry 16:
The following is a DFT calculation (GGA-PBEsol) of a relaxed Nb3CuRu crystal.

Values from the calculation:
total DFT energy (no corrections)	-8.121	eV per atom
V	21.0	Å³/atom
calculated density	7.03	Mg/m³

Unit cell a=4.7143 b=4.7143 c=4.7143 alpha=90.00 beta=90.00 gamma=90.00
Atoms (fractional coordinates):
Nb: 0.0000 0.0000 0.5000
Nb: 0.0000 0.5000 0.0000
Nb: 0.5000 0.0000 0.0000
Cu: 0.5000 0.5000 0.5000
Ru: 0.0000 0.0000 0.0000

=====

Entry 17:
The following is a DFT calculation (GGA-PBEsol) of a relaxed NbCu3S crystal.

Values from the calculation:
total DFT energy (no corrections)	-4.953	eV per atom
V	14.9	Å³/atom
calculated density	7.03	Mg/m³

Unit cell a=4.2084 b=4.2084 c=4.2084 alpha=90.00 beta=90.00 gamma=90.00
Atoms (fractional coordinates):
Nb: 0.0000 0.0000 0.0000
Cu: 0.0000 0.5000 0.5000
Cu: 0.5000 0.0000 0.5000
Cu: 0.5000 0.5000 0.0000
S: 0.5000 0.5000 0.5000

=====

Entry 18:
The following is a DFT calculation (GGA-PBEsol) of a relaxed Nb2V3Cu15S20 crystal.

Values from the calculation:
total DFT energy (no corrections)	-5.691	eV per atom
V	19.1	Å³/atom
calculated density	4.19	Mg/m³

Unit cell a=5.3503 b=5.3503 c=26.7401 alpha=90.00 beta=90.00 gamma=90.00
Atoms (fractional coordinates):
Nb: 0.0000 0.0000 0.1016
Nb: 0.0000 0.0000 0.8984
V: 0.0000 0.0000 0.3021
V: 0.0000 0.0000 0.5000
V: 0.0000 0.0000 0.6979
Cu: 0.0000 0.0000 0.0000
Cu: 0.0000 0.0000 0.2033
Cu: 0.0000 0.0000 0.4011
Cu: 0.0000 0.0000 0.5989
Cu: 0.0000 0.0000 0.7967
Cu: 0.0000 0.5000 0.1015
Cu: 0.0000 0.5000 0.3020
Cu: 0.0000 0.5000 0.5000
Cu: 0.0000 0.5000 0.6980
Cu: 0.0000 0.5000 0.8985
Cu: 0.5000 0.0000 0.1015
Cu: 0.5000 0.0000 0.3020
Cu: 0.5000 0.0000 0.5000
Cu: 0.5000 0.0000 0.6980
Cu: 0.5000 0.0000 0.8985
S: 0.2383 0.2383 0.3493
S: 0.2382 0.2382 0.5473
S: 0.2380 0.2380 0.7452
S: 0.2380 0.7620 0.2548
S: 0.2382 0.7618 0.4527
S: 0.2383 0.7617 0.6507
S: 0.2490 0.2490 0.1518
S: 0.2486 0.2486 0.9488
S: 0.2486 0.7514 0.0512
S: 0.2490 0.7510 0.8482
S: 0.7514 0.2486 0.0512
S: 0.7510 0.2490 0.8482
S: 0.7510 0.7510 0.1518
S: 0.7514 0.7514 0.9488
S: 0.7620 0.2380 0.2548
S: 0.7618 0.2382 0.4527
S: 0.7617 0.2383 0.6507
S: 0.7617 0.7617 0.3493
S: 0.7618 0.7618 0.5473
S: 0.7620 0.7620 0.7452

=====

Entry 19:
The following is a DFT calculation (GGA-PBEsol) of a relaxed NbCuSb2Te crystal.

Values from the calculation:
total DFT energy (no corrections)	-4.724	eV per atom
V	24.4	Å³/atom
calculated density	7.19	Mg/m³

Unit cell a=4.9094 b=4.9094 c=5.0577 alpha=90.00 beta=90.00 gamma=90.00
Atoms (fractional coordinates):
Nb: 0.0000 0.0000 0.0000
Cu: 0.5000 0.5000 0.5000
Sb: 0.0000 0.5000 0.5000
Sb: 0.5000 0.0000 0.5000
Te: 0.5000 0.5000 0.0000

=====

Entry 20:
The following is a DFT calculation (GGA-PBEsol) of a relaxed Nb4CuSe8 crystal.

Values from the calculation:
total DFT energy (no corrections)	-6.843	eV per atom
V	19.9	Å³/atom
calculated density	6.85	Mg/m³

Unit cell a=12.9586 b=12.9586 c=5.9801 alpha=103.13 beta=103.13 gamma=15.34
Atoms (fractional coordinates):
Nb: 0.1257 0.1257 0.1145
Nb: 0.3737 0.3737 0.3607
Nb: 0.6263 0.6263 0.6393
Nb: 0.8743 0.8743 0.8855
Cu: 0.0000 0.0000 0.0000
Se: 0.0576 0.0576 0.7154
Se: 0.1941 0.1941 0.8613
Se: 0.3093 0.3093 0.6417
Se: 0.4394 0.4394 0.7642
Se: 0.5606 0.5606 0.2358
Se: 0.6907 0.6907 0.3583
Se: 0.8059 0.8059 0.1387
Se: 0.9424 0.9424 0.2846